Cs2CaScBr6 | PBE | relaxed

Properties
The calculation puts the total moment at 0.100 μB/atom. The crystal system is cubic. For the formation energy from raw total energies, the calculation gives -1.770 eV/atom.

Cell and atoms, written as POSCAR:
```
Cs2CaScBr6
1.0
7.981 0.000 0.000
0.000 7.981 0.000
3.990 3.990 5.643
Ca Cs Br Sc
1 2 6 1
Direct
0.500 0.500 0.000 Ca
0.250 0.750 0.500 Cs
0.750 0.250 0.500 Cs
0.756 0.244 0.000 Br
0.244 0.244 0.000 Br
0.244 0.756 0.000 Br
0.244 0.244 0.512 Br
0.756 0.756 0.000 Br
0.756 0.756 0.488 Br
0.000 0.000 0.000 Sc
```